i.
Entry from Alexandria: a geometry-optimized Mg2SiPb2 structure (PBE).

Lattice parameters (Å, degrees): 8.7404 8.7404 8.7404 153.34 153.34 38.05
Sites, in units of the cell vectors:
1 Mg 0.2500 0.7500 0.5000
2 Mg 0.7500 0.2500 0.5000
3 Si 0.0000 0.0000 0.0000
4 Pb 0.5950 0.5950 0.0000
5 Pb 0.4050 0.4050 0.0000

The space group is No. 139.

---

ii.
Entry from Alexandria: a geometry-optimized Mg2SiPb2 structure (PBE).

Lattice parameters (Å, degrees): 8.5289 8.5289 3.4797 90.00 90.00 90.00
Sites, in units of the cell vectors:
1 Pb 0.3316 0.8316 0.0000
2 Pb 0.8316 0.6684 0.0000
3 Pb 0.6684 0.1684 0.0000
4 Pb 0.1684 0.3316 0.0000
5 Si 0.0000 0.0000 0.0000
6 Si 0.5000 0.5000 0.0000
7 Mg 0.1319 0.6319 0.5000
8 Mg 0.6319 0.8681 0.5000
9 Mg 0.8681 0.3681 0.5000
10 Mg 0.3681 0.1319 0.5000

The space group is No. 127.

---

iii.
Entry from Alexandria: a geometry-optimized Mg2SiPb2 structure (PBE).

Lattice parameters (Å, degrees): 7.1256 7.1256 4.9538 90.00 90.00 90.00
Sites, in units of the cell vectors:
1 Pb 0.1647 0.6647 0.5000
2 Pb 0.6647 0.8353 0.5000
3 Pb 0.8353 0.3353 0.5000
4 Pb 0.3353 0.1647 0.5000
5 Si 0.0000 0.0000 0.0000
6 Si 0.5000 0.5000 0.0000
7 Mg 0.3492 0.8492 0.0000
8 Mg 0.8492 0.6508 0.0000
9 Mg 0.6508 0.1508 0.0000
10 Mg 0.1508 0.3492 0.0000

The space group is No. 127.

---

How far above the most stable structure does each one sit? In kJ/mol of atoms: i 24.3; ii 14.6; iii 0.0.

---

i.
Entry from Alexandria: a geometry-optimized Mg2Si2Pb structure (PBE).

Lattice parameters (Å, degrees): 4.5016 4.5016 6.2999 69.07 69.07 90.00
Sites, in units of the cell vectors:
1 Pb 0.0000 0.0000 0.0000
2 Si 0.3929 0.3929 0.2141
3 Si 0.6071 0.6071 0.7859
4 Mg 0.7500 0.2500 0.5000
5 Mg 0.2500 0.7500 0.5000

The space group is No. 139.

---

ii.
Entry from Alexandria: a geometry-optimized Mg2Si2Pb structure (PBE).

Lattice parameters (Å, degrees): 8.2777 8.2777 3.0663 90.00 90.00 90.00
Sites, in units of the cell vectors:
1 Pb 0.0000 0.0000 0.0000
2 Pb 0.5000 0.5000 0.0000
3 Si 0.3408 0.8408 0.0000
4 Si 0.8408 0.6592 0.0000
5 Si 0.6592 0.1592 0.0000
6 Si 0.1592 0.3408 0.0000
7 Mg 0.1355 0.6355 0.5000
8 Mg 0.6355 0.8645 0.5000
9 Mg 0.8645 0.3645 0.5000
10 Mg 0.3645 0.1355 0.5000

The space group is No. 127.

---

How far above the most stable structure does each one sit? In kJ/mol of atoms: i 0.0; ii 7.3.